# Pa6AuSe12

A geometry-optimized Pa6AuSe12 structure (GGA-PBE, Alexandria via LeMat-Bulk).

Unit cell a=8.2849 b=8.2849 c=8.2849 alpha=101.46 beta=101.46 gamma=101.46
Positions (direct):
Pa  0.6987  0.8684  0.3780
Pa  0.6220  0.3013  0.1316
Pa  0.1316  0.6220  0.3013
Pa  0.3013  0.1316  0.6220
Pa  0.3780  0.6987  0.8684
Pa  0.8684  0.3780  0.6987
Au  0.0000  0.0000  0.0000
Se  0.8258  0.5784  0.4365
Se  0.4365  0.8258  0.5784
Se  0.5784  0.4365  0.8258
Se  0.1742  0.4216  0.5635
Se  0.5635  0.1742  0.4216
Se  0.4216  0.5635  0.1742
Se  0.0568  0.9412  0.3189
Se  0.0588  0.6811  0.9432
Se  0.6811  0.9432  0.0588
Se  0.9432  0.0588  0.6811
Se  0.9412  0.3189  0.0568
Se  0.3189  0.0568  0.9412

Values from the calculation:
Formation energy (no corrections)   -1148.9 meV/atom
E   -123.90 eV for the cell shown
SG   R-3
Total magnetization   0.369 μB/atom


# TmZr2Re

A geometry-optimized TmZr2Re structure (GGA-PBE, Alexandria via LeMat-Bulk).

Unit cell a=4.8963 b=4.8963 c=4.8963 alpha=60.00 beta=60.00 gamma=60.00
Positions (direct):
Re  0.0000  0.0000  0.0000
Tm  0.5000  0.5000  0.5000
Zr  0.2500  0.2500  0.2500
Zr  0.7500  0.7500  0.7500

Values from the calculation:
E   -33.74 eV for the cell shown
SG   Fm-3m
Total magnetization   0.000 μB/atom
Offset from the most stable computed form   91.2 meV per atom
Energy relative to the elements   0.07 eV/atom


# VIn3As

A geometry-optimized VIn3As structure (GGA-PBE, Alexandria via LeMat-Bulk).

Unit cell a=5.2798 b=5.2798 c=5.2798 alpha=90.00 beta=90.00 gamma=90.00
Positions (direct):
As  0.5000  0.5000  0.5000
In  0.0000  0.5000  0.0000
In  0.0000  0.0000  0.5000
In  0.5000  0.0000  0.0000
V  0.0000  0.0000  0.0000

Values from the calculation:
E   -18.25 eV for the cell shown
SG   Pm-3m
Total magnetization   0.752 μB/atom
Offset from the most stable computed form   0.0 meV per atom
Energy relative to the elements   0.75 eV/atom


# Al2Pt2Au

A geometry-optimized Al2Pt2Au structure (GGA-PBE, Alexandria via LeMat-Bulk).

Unit cell a=3.8401 b=3.8401 c=6.3953 alpha=72.53 beta=72.53 gamma=90.00
Positions (direct):
Au  0.0000  0.0000  0.0000
Al  0.7500  0.2500  0.5000
Al  0.2500  0.7500  0.5000
Pt  0.3852  0.3852  0.2296
Pt  0.6148  0.6148  0.7704

Values from the calculation:
E   -26.20 eV for the cell shown
SG   I4/mmm
Total magnetization   0.000 μB/atom
Offset from the most stable computed form   135.7 meV per atom
Energy relative to the elements   -0.67 eV/atom


# SnHPd2

A geometry-optimized SnHPd2 structure (GGA-PBE, Alexandria via LeMat-Bulk).

Unit cell a=3.1513 b=3.1513 c=6.7417 alpha=76.48 beta=76.48 gamma=60.00
Positions (direct):
H  0.0000  0.0000  0.0000
Sn  0.5000  0.5000  0.5000
Pd  0.2751  0.2751  0.1746
Pd  0.7249  0.7249  0.8254

Values from the calculation:
E   -18.49 eV for the cell shown
SG   R-3m
Total magnetization   0.000 μB/atom
Offset from the most stable computed form   140.6 meV per atom


# La2ScTlCo

A geometry-optimized La2ScTlCo structure (GGA-PBE, Alexandria via LeMat-Bulk).

Unit cell a=5.2111 b=5.2111 c=5.1124 alpha=90.00 beta=90.00 gamma=90.00
Positions (direct):
Sc  0.0000  0.0000  0.5000
Tl  0.5000  0.5000  0.5000
Co  0.0000  0.0000  0.0000
La  0.0000  0.5000  0.0000
La  0.5000  0.0000  0.0000

Values from the calculation:
E   -26.74 eV for the cell shown
SG   P4/mmm
Total magnetization   0.000 μB/atom
Energy relative to the elements   -0.22 eV/atom